# AgH3Pt

AgH3Pt at its PBEsol-relaxed geometry (meta-GGA SCAN, Alexandria via LeMat-Bulk).

```
AgH3Pt
1.0
3.544 0.000 0.000
0.000 3.544 0.000
0.000 0.000 3.544
Ag H Pt
1 3 1
Cartesian
0.000 0.000 0.000
0.000 1.772 1.772
1.772 0.000 1.772
1.772 1.772 0.000
1.772 1.772 1.772
```

Energy above the most stable polymorph in this dataset   0 meV/atom
Theoretical density   11.414 Mg/m³
Space group   Pm-3m, No. 221
Raw total energy   -111.59 eV/cell

=====

# Ta2AgHPt

Ta2AgHPt at its PBEsol-relaxed geometry (meta-GGA SCAN, Alexandria via LeMat-Bulk).

```
Ta2AgHPt
1.0
4.042 0.000 0.000
0.000 4.042 0.000
0.000 0.000 4.145
Ta Ag H Pt
2 1 1 1
Cartesian
0.000 2.021 0.000
2.021 0.000 0.000
0.000 0.000 2.072
0.000 0.000 0.000
2.021 2.021 2.072
```

Theoretical density   16.329 Mg/m³
Space group   P4/mmm, No. 123
Raw total energy   -238.83 eV/cell

=====

# ZrAgHPt2

ZrAgHPt2 at its PBEsol-relaxed geometry (meta-GGA SCAN, Alexandria via LeMat-Bulk).

```
ZrAgHPt2
1.0
4.041 0.000 0.000
0.000 4.041 0.000
0.000 0.000 4.216
Zr Ag H Pt
1 1 1 2
Cartesian
0.000 0.000 0.000
2.021 2.021 0.000
0.000 0.000 2.108
0.000 2.021 2.108
2.021 0.000 2.108
```

Theoretical density   14.235 Mg/m³
Space group   P4/mmm, No. 123
Raw total energy   -207.61 eV/cell

=====

The highest raw total energy belongs to which entry? AgH3Pt